1.
Below is ScIn2C after structural relaxation, with properties calculated at the GGA-PBE level.

Cell: 8.2416 8.2416 6.2778 Å, 48.97 48.97 90.00°
Positions (direct):
Sc (0.0000, 0.0000, 0.0000)
In (0.5221, 0.1250, 0.2500)
C (0.2500, 0.7500, 0.5000)
In (0.3750, 0.4779, 0.7500)
Sc (0.7500, 0.2500, 0.5000)
In (0.8750, 0.7721, 0.7500)
In (0.2279, 0.6250, 0.2500)
C (0.5000, 0.5000, 0.0000)

Summary:
**Energy relative to the elements**: 374 meV per atom
**Symmetry**: No. 122

***

2.
Below is PuThTl2 after structural relaxation, with properties calculated at the GGA-PBE level.

Cell: 4.7079 4.8927 4.8927 Å, 90.00 90.00 90.00°
Last column: magnetic moment on the atom in μB.
Positions (direct):
Tl (0.0000, 0.0000, 0.5000)  -0.01
Th (0.5000, 0.5000, 0.5000)  0.38
Pu (0.5000, 0.0000, 0.0000)  5.61
Tl (0.0000, 0.5000, 0.0000)  -0.01

Summary:
**Energy relative to the elements**: -71 meV per atom
**Symmetry**: No. 123

***

3.
Below is Rb2SbP2S6 after structural relaxation, with properties calculated at the GGA-PBE level.

Cell: 6.8583 7.4726 7.3958 Å, 106.28 90.00 117.32°
Last column: magnetic moment on the atom in μB.
Positions (direct):
P (0.0168, 0.0335, 0.1656)  0.02
S (0.3115, 0.1312, 0.8001)  0.02
Rb (0.7079, 0.4159, 0.2089)  0.00
S (0.6885, 0.8688, 0.1999)  0.02
P (0.9832, 0.9665, 0.8344)  0.02
S (0.8198, 0.1312, 0.8001)  0.02
Sb (0.5000, 0.0000, 0.5000)  0.29
S (0.1802, 0.8688, 0.1999)  0.02
Rb (0.2921, 0.5841, 0.7911)  0.00
S (0.8273, 0.6545, 0.7055)  0.01
S (0.1727, 0.3455, 0.2945)  0.01

Summary:
**Formation energy (no corrections)**: -6.1 eV/f.u.
**Symmetry**: No. 12

***

4.
Below is HfMo2AsAu after structural relaxation, with properties calculated at the GGA-PBE level.

Cell: 4.6685 4.6699 4.6685 Å, 90.00 90.00 90.00°
Last column: magnetic moment on the atom in μB.
Positions (direct):
Mo (0.5000, 0.0000, 0.0000)  0.10
Mo (0.0000, 0.0000, 0.5000)  0.16
Hf (0.5000, 0.5000, 0.5000)  -0.02
As (0.0000, 0.0000, 0.0000)  0.00
Au (0.0000, 0.5000, 0.0000)  0.01

Summary:
**Energy relative to the elements**: 780 meV per atom
**Symmetry**: No. 123

***

5.
Below is Sc6Ir5Ru after structural relaxation, with properties calculated at the GGA-PBE level.

Cell: 4.5763 6.3902 7.2498 Å, 90.00 108.69 90.00°
Positions (direct):
Sc (0.5000, 0.7522, 0.0000)
Sc (0.8344, 0.2485, 0.6689)
Ir (0.0000, 0.5000, 0.0000)
Sc (0.1656, 0.2485, 0.3311)
Ru (0.0000, 0.0000, 0.0000)
Ir (0.3332, 0.0000, 0.6665)
Sc (0.8344, 0.7515, 0.6689)
Ir (0.6672, 0.5000, 0.3342)
Sc (0.5000, 0.2478, 0.0000)
Sc (0.1656, 0.7515, 0.3311)
Ir (0.6668, 0.0000, 0.3335)
Ir (0.3328, 0.5000, 0.6658)

Summary:
**Energy relative to the elements**: -974 meV per atom
**Symmetry**: No. 10

***

6.
Below is NaCdO2 after structural relaxation, with properties calculated at the GGA-PBE level.

Cell: 3.3577 3.3577 5.8496 Å, 73.25 106.75 119.93°
Last column: magnetic moment on the atom in μB.
Positions (direct):
Cd (0.5000, 0.5000, 0.5000)  0.07
O (0.7576, 0.2424, 0.2745)  0.39
Na (0.0000, 0.0000, 0.0000)  0.00
O (0.2424, 0.7576, 0.7255)  0.39

Summary:
**Formation energy (no corrections)**: -3.8 eV/f.u.
**Symmetry**: No. 12

***

7.
Below is Sb3HI after structural relaxation, with properties calculated at the GGA-PBE level.

Cell: 4.9101 4.9101 4.9101 Å, 90.00 90.00 90.00°
Positions (direct):
Sb (0.0000, 0.5000, 0.0000)
I (0.5000, 0.5000, 0.5000)
Sb (0.0000, 0.0000, 0.5000)
Sb (0.5000, 0.0000, 0.0000)
H (0.0000, 0.0000, 0.0000)

Summary:
**E above lowest polymorph**: 0 meV/atom
**Symmetry**: No. 221

***

8.
Below is AlZn2Cu after structural relaxation, with properties calculated at the GGA-PBE level.

Cell: 4.7613 4.7613 4.7613 Å, 132.76 132.76 69.03°
Positions (direct):
Al (0.2500, 0.7500, 0.5000)
Zn (0.5000, 0.5000, 0.0000)
Zn (0.0000, 0.0000, 0.0000)
Cu (0.7500, 0.2500, 0.5000)

Summary:
**Energy relative to the elements**: -27 meV per atom
**Symmetry**: No. 139

***

9.
Below is KZrSc2 after structural relaxation, with properties calculated at the GGA-PBE level.

Cell: 6.7279 6.7279 6.7279 Å, 151.90 124.93 62.96°
Positions (direct):
Sc (0.5282, 0.5282, 0.0000)
Zr (0.7500, 0.2500, 0.5000)
Sc (0.9718, 0.9718, 0.0000)
K (0.2500, 0.7500, 0.5000)

Summary:
**E above lowest polymorph**: 366 meV/atom
**Energy relative to the elements**: 662 meV per atom
**Symmetry**: No. 71

***

10.
Below is TbPm2Cd after structural relaxation, with properties calculated at the GGA-PBE level.

Cell: 3.4724 3.4724 12.3306 Å, 81.91 81.91 60.00°
Last column: magnetic moment on the atom in μB.
Positions (direct):
Pm (0.9058, 0.9058, 0.2827)  0.06
Pm (0.0942, 0.0942, 0.7173)  0.06
Cd (0.5000, 0.5000, 0.5000)  0.00
Tb (0.0000, 0.0000, 0.0000)  0.17

Summary:
**E above lowest polymorph**: 291 meV/atom
**Energy relative to the elements**: 150 meV per atom
**Symmetry**: No. 166

***

11.
Below is Na15Tl2Hg2 after structural relaxation, with properties calculated at the GGA-PBE level.

Cell: 9.1648 9.1648 9.1648 Å, 66.35 66.35 66.35°
Positions (direct):
Na (0.5000, 0.0000, 0.0000)
Na (0.6986, 0.0000, 0.3014)
Tl (0.2974, 0.2974, 0.2974)
Na (0.5627, 0.1963, 0.5627)
Hg (0.0790, 0.0790, 0.0790)
Na (0.0000, 0.3014, 0.6986)
Na (0.3014, 0.6986, 0.0000)
Na (0.4373, 0.4373, 0.8037)
Na (0.4373, 0.8037, 0.4373)
Na (0.3014, 0.0000, 0.6986)
Na (0.1963, 0.5627, 0.5627)
Na (0.8037, 0.4373, 0.4373)
Na (0.0000, 0.6986, 0.3014)
Na (0.0000, 0.0000, 0.5000)
Na (0.6986, 0.3014, 0.0000)
Na (0.0000, 0.5000, 0.0000)
Na (0.5627, 0.5627, 0.1963)
Hg (0.9210, 0.9210, 0.9210)
Tl (0.7026, 0.7026, 0.7026)

Summary:
**Energy relative to the elements**: 15 meV per atom
**Symmetry**: No. 166

***

12.
Below is Pd2SBr3 after structural relaxation, with properties calculated at the GGA-PBE level.

Cell: 6.3723 7.5026 7.5026 Å, 120.00 90.00 90.00°
Last column: magnetic moment on the atom in μB.
Positions (direct):
Pd (0.0000, 0.5000, 0.5000)  0.34
Br (0.2475, 0.8365, 0.6730)  0.25
S (0.1574, 0.3333, 0.6667)  -0.01
Br (0.7525, 0.1635, 0.3270)  0.25
Pd (0.0000, 0.5000, 0.0000)  0.34
Br (0.7525, 0.6730, 0.8365)  0.25
Pd (0.0000, 0.0000, 0.5000)  0.34
S (0.8426, 0.6667, 0.3333)  -0.01
Br (0.2475, 0.8365, 0.1635)  0.25
Br (0.7525, 0.1635, 0.8365)  0.25
Br (0.2475, 0.3270, 0.1635)  0.25
Pd (0.0000, 0.0000, 0.0000)  1.04

Summary:
**Formation energy (no corrections)**: -0.9 eV/f.u.
**Symmetry**: No. 164

***

13.
Below is TiZnTe after structural relaxation, with properties calculated at the GGA-PBE level.

Cell: 5.2328 4.0496 6.1794 Å, 90.00 108.80 90.00°
Positions (direct):
Te (0.1033, 0.7500, 0.2616)
Te (0.8967, 0.2500, 0.7384)
Ti (0.3304, 0.2500, 0.5795)
Ti (0.6696, 0.7500, 0.4205)
Zn (0.4617, 0.2500, 0.1093)
Zn (0.5383, 0.7500, 0.8907)

Summary:
**E above lowest polymorph**: 62 meV/atom
**Formation energy (no corrections)**: -1.0 eV/f.u.
**Symmetry**: No. 11

***

14.
Below is Pm12Tm3Al after structural relaxation, with properties calculated at the GGA-PBE level.

Cell: 5.0276 5.0276 20.3530 Å, 90.00 90.00 90.00°
Positions (direct):
Tm (0.0000, 0.0000, 0.7534)
Pm (0.5000, 0.0000, 0.3728)
Tm (0.0000, 0.0000, 0.5000)
Pm (0.5000, 0.0000, 0.6272)
Pm (0.5000, 0.5000, 0.7548)
Tm (0.0000, 0.0000, 0.2466)
Pm (0.0000, 0.5000, 0.8820)
Pm (0.0000, 0.5000, 0.3728)
Pm (0.5000, 0.0000, 0.1180)
Al (0.0000, 0.0000, 0.0000)
Pm (0.5000, 0.5000, 0.5000)
Pm (0.5000, 0.5000, 0.0000)
Pm (0.5000, 0.0000, 0.8820)
Pm (0.5000, 0.5000, 0.2452)
Pm (0.0000, 0.5000, 0.6272)
Pm (0.0000, 0.5000, 0.1180)

Summary:
**Energy relative to the elements**: -19 meV per atom
**Symmetry**: No. 123

***

15.
Below is CuTcPO2 after structural relaxation, with properties calculated at the GGA-PBE level.

Cell: 3.6684 3.6684 4.7622 Å, 90.00 90.00 90.00°
Last column: magnetic moment on the atom in μB.
Positions (direct):
Cu (0.0000, 0.0000, 0.0000)  -0.05
O (0.5000, 0.0000, 0.0000)  0.07
P (0.0000, 0.0000, 0.5000)  -0.11
O (0.0000, 0.5000, 0.0000)  0.07
Tc (0.5000, 0.5000, 0.5000)  2.48

Summary:
**E above lowest polymorph**: 996 meV/atom
**Formation energy (no corrections)**: 2.3 eV/f.u.
**Symmetry**: No. 123

***

16.
Below is Rb2Tm2HfTe6 after structural relaxation, with properties calculated at the GGA-PBE level.

Cell: 7.4612 7.4612 9.1620 Å, 98.16 98.16 119.81°
Positions (direct):
Te (0.2544, 0.2544, 0.3080)
Te (0.3874, 0.0702, 0.6942)
Te (0.7456, 0.7456, 0.6920)
Tm (0.3320, 0.6680, 0.5000)
Rb (0.8297, 0.1703, 0.0000)
Hf (0.0000, 0.0000, 0.5000)
Te (0.0702, 0.3874, 0.6942)
Tm (0.6680, 0.3320, 0.5000)
Rb (0.1703, 0.8297, 0.0000)
Te (0.6126, 0.9298, 0.3058)
Te (0.9298, 0.6126, 0.3058)

Summary:
**Formation energy (no corrections)**: -13.3 eV/f.u.
**Symmetry**: No. 12

***

Number 1: E_tot -4.885 eV per atom. Number 2: E_tot -6.692 eV per atom. Number 3: E_tot -4.340 eV per atom. Number 4: E_tot -7.128 eV per atom. Number 5: E_tot -8.604 eV per atom. Number 6: E_tot -3.999 eV per atom. Number 7: E_tot -2.842 eV per atom. Number 8: E_tot -2.623 eV per atom. Number 9: E_tot -4.915 eV per atom. Number 10: E_tot -3.612 eV per atom. Number 11: E_tot -1.307 eV per atom. Number 12: E_tot -3.397 eV per atom. Number 13: E_tot -4.430 eV per atom. Number 14: E_tot -4.655 eV per atom. Number 15: E_tot -5.491 eV per atom. Number 16: E_tot -4.818 eV per atom.